1.
# PBE TmBiAu4, optimized geometry
# **Fermi-level density of states**: 0.223 states/eV/atom
# **E**: -3.97 eV/atom
# **Formation energy**: -0.3932 eV/atom
# **Offset from the most stable computed form**: 0.024 eV per atom
data_TmBiAu4
_symmetry_space_group_name_H-M 'F -4 3 m'
_symmetry_Int_Tables_number 216
_symmetry_space_group_name_Hall 'F -4 2 3'
_cell_length_a 8.022
_cell_length_b 8.022
_cell_length_c 8.022
_cell_angle_alpha 90.00
_cell_angle_beta 90.00
_cell_angle_gamma 90.00
loop_
_atom_site_label
_atom_site_type_symbol
_atom_site_fract_x
_atom_site_fract_y
_atom_site_fract_z
Tm1 Tm 0.000 0.000 0.000
Bi1 Bi 0.250 0.250 0.250
Au1 Au 0.125 0.125 0.625

2.
# PBE Rb2GaBr6O, optimized geometry
# **Fermi-level density of states**: 0.208 states/eV/atom
# **E**: -2.73 eV/atom
# **Formation energy (no corrections)**: -0.73 eV/atom
data_Rb2GaBr6O
_symmetry_space_group_name_H-M 'I 4/m m m'
_symmetry_Int_Tables_number 139
_symmetry_space_group_name_Hall '-I 4 2'
_cell_length_a 7.176
_cell_length_b 7.176
_cell_length_c 11.524
_cell_angle_alpha 90.00
_cell_angle_beta 90.00
_cell_angle_gamma 90.00
loop_
_atom_site_label
_atom_site_type_symbol
_atom_site_fract_x
_atom_site_fract_y
_atom_site_fract_z
Rb1 Rb 0.000 0.500 0.250
Ga1 Ga 0.000 0.000 0.000
Br1 Br 0.000 0.000 0.217
Br2 Br 0.239 0.239 0.500
O1 O 0.000 0.000 0.500

3.
# PBE CrSiHPd2, optimized geometry
# **Fermi-level density of states**: 0.495 states/eV/atom
# **E**: -5.89 eV/atom
data_CrSiHPd2
_symmetry_space_group_name_H-M 'P 4/m m m'
_symmetry_Int_Tables_number 123
_symmetry_space_group_name_Hall '-P 4 2'
_cell_length_a 3.917
_cell_length_b 3.917
_cell_length_c 3.924
_cell_angle_alpha 90.00
_cell_angle_beta 90.00
_cell_angle_gamma 90.00
loop_
_atom_site_label
_atom_site_type_symbol
_atom_site_fract_x
_atom_site_fract_y
_atom_site_fract_z
Cr1 Cr 0.000 0.000 0.000
Si1 Si 0.500 0.500 0.000
H1 H 0.000 0.000 0.500
Pd1 Pd 0.000 0.500 0.500

4.
# PBE CaSc4Cu5, optimized geometry
# **Fermi-level density of states**: 0.593 states/eV/atom
# **E**: -5.01 eV/atom
# **Formation energy**: -0.2312 eV/atom
data_CaSc4Cu5
_symmetry_space_group_name_H-M 'P 4/m m m'
_symmetry_Int_Tables_number 123
_symmetry_space_group_name_Hall '-P 4 2'
_cell_length_a 3.295
_cell_length_b 3.295
_cell_length_c 16.733
_cell_angle_alpha 90.00
_cell_angle_beta 90.00
_cell_angle_gamma 90.00
loop_
_atom_site_label
_atom_site_type_symbol
_atom_site_fract_x
_atom_site_fract_y
_atom_site_fract_z
Ca1 Ca 0.000 0.000 0.000
Sc1 Sc 0.000 0.000 0.209
Sc2 Sc 0.000 0.000 0.403
Cu1 Cu 0.500 0.500 0.123
Cu2 Cu 0.500 0.500 0.305
Cu3 Cu 0.500 0.500 0.500

5.
# PBE CeReS6, optimized geometry
# **Fermi-level density of states**: 0.759 states/eV/atom
# **E**: -6.02 eV/atom
# **Formation energy (no corrections)**: -0.62 eV/atom
data_CeReS6
_symmetry_space_group_name_H-M 'P -1'
_symmetry_Int_Tables_number 2
_cell_length_a 5.848
_cell_length_b 5.850
_cell_length_c 6.106
_cell_angle_alpha 109.70
_cell_angle_beta 109.63
_cell_angle_gamma 107.08
loop_
_symmetry_equiv_pos_as_xyz
'x,y,z'
'-x,-y,-z'
loop_
_atom_site_label
_atom_site_type_symbol
_atom_site_fract_x
_atom_site_fract_y
_atom_site_fract_z
Ce1 Ce 0.000 0.000 0.000
Re1 Re 0.500 0.500 0.000
S1 S 0.175 0.174 0.553
S2 S 0.191 0.566 0.165
S3 S 0.434 0.809 0.835

6.
# PBE Mn2TcSe, optimized geometry
# **Fermi-level density of states**: 0.838 states/eV/atom
# **E**: -7.87 eV/atom
# **Formation energy (no corrections)**: 0.17 eV/atom
data_Mn2TcSe
_symmetry_space_group_name_H-M 'I m m 2'
_symmetry_Int_Tables_number 44
_cell_length_a 3.111
_cell_length_b 4.287
_cell_length_c 8.495
_cell_angle_alpha 90.00
_cell_angle_beta 90.00
_cell_angle_gamma 90.00
loop_
_symmetry_equiv_pos_as_xyz
'x,y,z'
'-x,-y,z'
'-x,y,z'
'x,-y,z'
'x+1/2,y+1/2,z+1/2'
'-x+1/2,-y+1/2,z+1/2'
'-x+1/2,y+1/2,z+1/2'
'x+1/2,-y+1/2,z+1/2'
loop_
_atom_site_label
_atom_site_type_symbol
_atom_site_fract_x
_atom_site_fract_y
_atom_site_fract_z
Mn1 Mn 0.000 0.000 0.000
Mn2 Mn 0.000 0.500 0.242
Tc1 Tc 0.000 0.000 0.464
Se1 Se 0.000 0.500 0.731